1 | # LaSm2Ir

A relaxed LaSm2Ir crystal (GGA-PBE, Alexandria via LeMat-Bulk).

Calculated values
SG: R-3m (166)
Crystal system: trigonal

Cell: 3.8964 3.8964 10.9429 Å, 79.74 79.74 60.00°
With the nearest neighbours (Å) after each atom.
Atoms (fractional coordinates):
Ir 0.5000 0.5000 0.5000  6 Sm 2.78
Sm 0.1156 0.1156 0.6532  3 Ir 2.78
Sm 0.8844 0.8844 0.3468  3 Ir 2.78
La 0.0000 0.0000 0.0000  2 Sm 3.71, 6 La 3.90

2 | # LaSm2Ir

A relaxed LaSm2Ir crystal (GGA-PBE, Alexandria via LeMat-Bulk).

Calculated values
SG: P4/mmm (123)
Crystal system: tetragonal

Cell: 3.5800 3.5800 9.1353 Å, 90.00 90.00 90.00°
With the nearest neighbours (Å) after each atom.
Atoms (fractional coordinates):
Ir 0.5000 0.5000 0.0000  8 Sm 3.02
Sm 0.0000 0.0000 0.8206  4 Ir 3.02, 1 Sm 3.28
Sm 0.0000 0.0000 0.1794  4 Ir 3.02, 1 Sm 3.28
La 0.5000 0.5000 0.5000  4 La 3.58, 8 Sm 3.87

3 | # LaSm2Ir

A relaxed LaSm2Ir crystal (GGA-PBE, Alexandria via LeMat-Bulk).

Calculated values
SG: Pnma (62)
Crystal system: orthorhombic

Cell: 6.5852 7.3560 9.7927 Å, 90.00 90.00 90.00°
With the nearest neighbours (Å) after each atom.
Atoms (fractional coordinates):
La 0.6414 0.5411 0.2500  2 Ir 2.82-3.01
La 0.8586 0.0411 0.2500  2 Ir 2.82-3.01
La 0.3586 0.4589 0.7500  2 Ir 2.82-3.01
La 0.1414 0.9589 0.7500  2 Ir 2.82-3.01
Sm 0.1704 0.6737 0.0664  2 Ir 2.91-2.94
Sm 0.3296 0.1737 0.4336  2 Ir 2.91-2.94
Sm 0.8296 0.3263 0.5664  2 Ir 2.91-2.94
Sm 0.6704 0.8263 0.9336  2 Ir 2.91-2.94
Sm 0.8296 0.3263 0.9336  2 Ir 2.91-2.94
Sm 0.6704 0.8263 0.5664  2 Ir 2.91-2.94
Sm 0.1704 0.6737 0.4336  2 Ir 2.91-2.94
Sm 0.3296 0.1737 0.0664  2 Ir 2.91-2.94
Ir 0.0602 0.3786 0.2500  2 La 2.82-3.01, 4 Sm 2.91-2.94
Ir 0.4398 0.8786 0.2500  2 La 2.82-3.01, 4 Sm 2.91-2.94
Ir 0.9398 0.6214 0.7500  2 La 2.82-3.01, 4 Sm 2.91-2.94
Ir 0.5602 0.1214 0.7500  2 La 2.82-3.01, 4 Sm 2.91-2.94

4 | # LaSm2Ir

A relaxed LaSm2Ir crystal (GGA-PBE, Alexandria via LeMat-Bulk).

Calculated values
SG: P2_1/m (11)
Crystal system: monoclinic

Cell: 3.9454 6.4808 9.7220 Å, 90.00 90.00 107.74°
With the nearest neighbours (Å) after each atom.
Atoms (fractional coordinates):
La 0.4193 0.8396 0.2500  2 Ir 2.92
La 0.5807 0.1604 0.7500  2 Ir 2.92
Sm 0.1443 0.2876 0.4318  2 Ir 2.93
Sm 0.8557 0.7124 0.5682  2 Ir 2.93
Sm 0.8557 0.7124 0.9318  2 Ir 2.93
Sm 0.1443 0.2876 0.0682  2 Ir 2.93
Ir 0.7457 0.4913 0.2500  2 La 2.92, 4 Sm 2.93
Ir 0.2543 0.5087 0.7500  2 La 2.92, 4 Sm 2.93

Quick one: least stable of them? 1

1 | # LaSmIr

A relaxed LaSmIr crystal (GGA-PBE, Alexandria via LeMat-Bulk).

Calculated values
SG: C2/m (12)
Crystal system: monoclinic

Cell: 4.8776 4.8775 7.0373 Å, 92.19 92.17 90.04°
With the nearest neighbours (Å) after each atom.
Atoms (fractional coordinates):
La 0.8201 0.8730 0.5339  1 Ir 2.68
La 0.3071 0.3600 0.3053  1 Ir 2.68
Sm 0.8093 0.3707 0.9196  4 Ir 2.90-2.99
Sm 0.3178 0.8622 0.9196  4 Ir 2.90-2.99
Ir 0.8419 0.8950 0.1548  1 La 2.68, 4 Sm 2.90-2.99
Ir 0.2852 0.3378 0.6844  1 La 2.68, 4 Sm 2.90-2.99

2 | # LaSmIr

A relaxed LaSmIr crystal (GGA-PBE, Alexandria via LeMat-Bulk).

Calculated values
SG: F-43m (216)
Crystal system: cubic

Cell: 4.9618 4.9618 4.9618 Å, 60.00 60.00 60.00°
With the nearest neighbours (Å) after each atom.
Atoms (fractional coordinates):
Ir 0.2500 0.2500 0.2500  4 La 3.04, 4 Sm 3.04
Sm 0.5000 0.5000 0.5000  4 Ir 3.04
La 0.0000 0.0000 0.0000  4 Ir 3.04

Quick one: least stable of them? 2

1 | # LaSmIr

A relaxed LaSmIr crystal (GGA-PBE, Alexandria via LeMat-Bulk).

Calculated values
SG: P3m1 (156)
Crystal system: trigonal

Cell: 6.4749 4.2201 4.2201 Å, 120.00 90.00 90.00°
With the nearest neighbours (Å) after each atom.
Atoms (fractional coordinates):
Ir 0.0017 0.0000 0.0000  3 Sm 2.84, 3 La 2.85
Sm 0.2257 0.3333 0.6667  3 Ir 2.84
La 0.7726 0.6667 0.3333  3 Ir 2.85

2 | # LaSmIr

A relaxed LaSmIr crystal (GGA-PBE, Alexandria via LeMat-Bulk).

Calculated values
SG: Pnma (62)
Crystal system: orthorhombic

Cell: 4.4450 7.4529 10.9161 Å, 90.00 90.00 90.00°
With the nearest neighbours (Å) after each atom.
Atoms (fractional coordinates):
La 0.7500 0.3761 0.8719  3 Ir 2.87-3.04
La 0.2500 0.8761 0.6281  3 Ir 2.87-3.04
La 0.2500 0.6239 0.1281  3 Ir 2.87-3.04
La 0.7500 0.1239 0.3719  3 Ir 2.87-3.04
Sm 0.7500 0.6087 0.3861  4 Ir 2.91-3.14
Sm 0.2500 0.1087 0.1139  4 Ir 2.91-3.14
Sm 0.2500 0.3913 0.6139  4 Ir 2.91-3.14
Sm 0.7500 0.8913 0.8861  4 Ir 2.91-3.14
Ir 0.7500 0.8644 0.1573  3 La 2.87-3.04, 4 Sm 2.91-3.14
Ir 0.2500 0.3644 0.3427  3 La 2.87-3.04, 4 Sm 2.91-3.14
Ir 0.2500 0.1356 0.8427  3 La 2.87-3.04, 4 Sm 2.91-3.14
Ir 0.7500 0.6356 0.6573  3 La 2.87-3.04, 4 Sm 2.91-3.14

3 | # LaSmIr

A relaxed LaSmIr crystal (GGA-PBE, Alexandria via LeMat-Bulk).

Calculated values
SG: I4mm (107)
Crystal system: tetragonal

Cell: 3.5881 3.5881 7.1822 Å, 104.47 104.47 90.00°
With the nearest neighbours (Å) after each atom.
Atoms (fractional coordinates):
Ir 0.6644 0.6644 0.3287  4 Sm 3.00, 4 La 3.05
Sm 0.0447 0.0447 0.0893  4 Ir 3.00, 1 La 3.31
La 0.2910 0.2910 0.5819  4 Ir 3.05, 1 Sm 3.31

Quick one: least stable of them? 3

1 | # La2SmIr

A relaxed La2SmIr crystal (GGA-PBE, Alexandria via LeMat-Bulk).

Calculated values
SG: Pnma (62)
Crystal system: orthorhombic

Cell: 6.5126 7.4097 10.1153 Å, 90.00 90.00 90.00°
With the nearest neighbours (Å) after each atom.
Atoms (fractional coordinates):
La 0.1728 0.6726 0.0672  2 Ir 2.93-2.95
La 0.3272 0.1726 0.4328  2 Ir 2.93-2.95
La 0.8272 0.3274 0.5672  2 Ir 2.93-2.95
La 0.6728 0.8274 0.9328  2 Ir 2.93-2.95
La 0.8272 0.3274 0.9328  2 Ir 2.93-2.95
La 0.6728 0.8274 0.5672  2 Ir 2.93-2.95
La 0.1728 0.6726 0.4328  2 Ir 2.93-2.95
La 0.3272 0.1726 0.0672  2 Ir 2.93-2.95
Sm 0.6530 0.5368 0.2500  2 Ir 2.90-2.94
Sm 0.8470 0.0368 0.2500  2 Ir 2.90-2.94
Sm 0.3470 0.4632 0.7500  2 Ir 2.90-2.94
Sm 0.1530 0.9632 0.7500  2 Ir 2.90-2.94
Ir 0.0658 0.3771 0.2500  2 Sm 2.90-2.94, 4 La 2.93-2.95
Ir 0.4342 0.8771 0.2500  2 Sm 2.90-2.94, 4 La 2.93-2.95
Ir 0.9342 0.6229 0.7500  2 Sm 2.90-2.94, 4 La 2.93-2.95
Ir 0.5658 0.1229 0.7500  2 Sm 2.90-2.94, 4 La 2.93-2.95

2 | # La2SmIr

A relaxed La2SmIr crystal (GGA-PBE, Alexandria via LeMat-Bulk).

Calculated values
SG: R3m (160)
Crystal system: trigonal

Cell: 4.0914 4.0914 9.6809 Å, 77.80 77.80 60.00°
With the nearest neighbours (Å) after each atom.
Atoms (fractional coordinates):
La 0.0573 0.0573 0.8280  3 Ir 2.87
La 0.2758 0.2758 0.1726  3 Ir 2.86
Sm 0.5007 0.5007 0.4979  6 La 3.86-3.90, 6 Sm 4.09
Ir 0.6662 0.6662 0.0015  6 La 2.86-2.87

Quick one: least stable of them? 2

1 | # La2SmIr

A relaxed La2SmIr crystal (GGA-PBE, Alexandria via LeMat-Bulk).

Calculated values
SG: Cmcm (63)
Crystal system: orthorhombic

Cell: 3.9673 6.3694 10.0848 Å, 90.00 90.00 108.16°
With the nearest neighbours (Å) after each atom.
Atoms (fractional coordinates):
La 0.3601 0.7200 0.5680  2 Ir 2.92
La 0.6399 0.2800 0.4320  2 Ir 2.92
La 0.3601 0.7200 0.9320  2 Ir 2.92
La 0.6399 0.2800 0.0680  2 Ir 2.92
Sm 0.9145 0.8286 0.2500  2 Ir 2.98
Sm 0.0855 0.1714 0.7500  2 Ir 2.98
Ir 0.7692 0.5386 0.7500  4 La 2.92, 2 Sm 2.98
Ir 0.2308 0.4614 0.2500  4 La 2.92, 2 Sm 2.98

2 | # La2SmIr

A relaxed La2SmIr crystal (GGA-PBE, Alexandria via LeMat-Bulk).

Calculated values
SG: R-3m (166)
Crystal system: trigonal

Cell: 3.9462 3.9462 10.9183 Å, 79.59 79.59 60.00°
With the nearest neighbours (Å) after each atom.
Atoms (fractional coordinates):
Ir 0.5000 0.5000 0.5000  6 La 2.84
Sm 0.0000 0.0000 0.0000  2 La 3.64, 6 Sm 3.95
La 0.1137 0.1137 0.6588  3 Ir 2.84
La 0.8863 0.8863 0.3412  3 Ir 2.84

Quick one: least stable of them? 2

1 | # LaSmIr2

A relaxed LaSmIr2 crystal (GGA-PBE, Alexandria via LeMat-Bulk).

Calculated values
SG: P4/mmm (123)
Crystal system: tetragonal

Cell: 3.6675 4.9348 4.9348 Å, 90.00 90.00 90.00°
With the nearest neighbours (Å) after each atom.
Atoms (fractional coordinates):
Ir 0.0000 0.0000 0.5000  4 La 3.07, 4 Sm 3.07
Ir 0.0000 0.5000 0.0000  4 La 3.07, 4 Sm 3.07
Sm 0.5000 0.5000 0.5000  8 Ir 3.07
La 0.5000 0.0000 0.0000  8 Ir 3.07

2 | # LaSmIr2

A relaxed LaSmIr2 crystal (GGA-PBE, Alexandria via LeMat-Bulk).

Calculated values
SG: Amm2 (38)
Crystal system: orthorhombic

Cell: 4.0520 4.2347 5.8436 Å, 90.00 110.27 90.00°
With the nearest neighbours (Å) after each atom.
Atoms (fractional coordinates):
La 0.4375 0.5000 0.4138  7 Ir 3.01-3.20
Sm 0.7258 0.0000 0.9906  7 Ir 3.01-3.16
Ir 0.1629 0.5000 0.8648  2 Ir 2.74, 1 La 3.01, 4 Sm 3.01
Ir 0.0048 0.0000 0.5488  2 Ir 2.74, 4 La 3.02, 1 Sm 3.06

Quick one: least stable of them? 1